(1)
Compound: BeInO2F
Source: Alexandria via LeMat-Bulk
Functional: PBE-GGA
Structure: relaxed

Results
ΔE_f (raw): -586 meV per atom
calculated volume: 70.7 Å³ per cell
space group: P4/mmm
total magnetization: 0.000 μB/f.u.

The structure in POSCAR format:
```
BeInO2F
1.0
4.160 0.000 0.000
0.000 4.160 0.000
0.000 0.000 4.084
Be In O F
1 1 2 1
Direct
0.000 0.000 0.000
0.500 0.500 0.500
0.000 0.500 0.500
0.500 0.000 0.500
0.500 0.500 0.000
```


(2)
Compound: La3Tb3Tl
Source: Alexandria via LeMat-Bulk
Functional: PBE-GGA
Structure: relaxed

Results
calculated volume: 456.0 Å³ per cell
space group: P2_1/m
total magnetization: 0.000 μB/f.u.

The structure in POSCAR format:
```
La3Tb3Tl
1.0
9.591 0.000 0.000
0.000 5.718 0.000
-4.792 0.000 8.314
La Tb Tl
6 6 2
Direct
0.025 0.250 0.133
0.132 0.750 0.608
0.392 0.750 0.025
0.608 0.250 0.975
0.868 0.250 0.392
0.975 0.750 0.867
0.264 0.750 0.323
0.323 0.250 0.559
0.442 0.250 0.265
0.558 0.750 0.735
0.677 0.750 0.441
0.736 0.250 0.677
0.167 0.250 0.833
0.833 0.750 0.167
```


(3)
Compound: TlHgBr6
Source: Alexandria via LeMat-Bulk
Functional: PBE-GGA
Structure: relaxed

Results
energy relative to the lowest polymorph listed for this composition: 0.028 eV/atom
ΔE_f (raw): -247 meV per atom
calculated volume: 322.7 Å³ per cell
space group: C2/m
total magnetization: 0.000 μB/f.u.

The structure in POSCAR format:
```
TlHgBr6
1.0
6.700 -3.950 0.000
6.700 3.950 0.000
-0.915 0.000 6.097
Tl Hg Br
1 1 6
Direct
0.000 0.000 0.000
0.500 0.500 0.500
0.170 0.633 0.693
0.176 0.176 0.889
0.367 0.830 0.307
0.633 0.170 0.693
0.824 0.824 0.111
0.830 0.367 0.307
```


(4)
Compound: Dy3SbAs2Rh9
Source: Alexandria via LeMat-Bulk
Functional: PBE-GGA
Structure: relaxed

Results
ΔE_f (raw): -462 meV per atom
calculated volume: 314.1 Å³ per cell
space group: P-3m1
total magnetization: 0.000 μB/f.u.

The structure in POSCAR format:
```
Dy3SbAs2Rh9
1.0
6.264 0.000 0.000
-3.132 5.425 0.000
0.000 0.000 9.244
Dy Sb As Rh
3 1 2 9
Direct
0.000 0.000 0.000
0.333 0.667 0.745
0.667 0.333 0.255
0.000 0.000 0.500
0.333 0.667 0.170
0.667 0.333 0.830
0.000 0.500 0.000
0.142 0.284 0.271
0.142 0.858 0.271
0.284 0.142 0.729
0.500 0.000 0.000
0.500 0.500 0.000
0.716 0.858 0.271
0.858 0.142 0.729
0.858 0.716 0.729
```


(5)
Compound: TaGeCl2
Source: Alexandria via LeMat-Bulk
Functional: PBE-GGA
Structure: relaxed

Results
energy relative to the lowest polymorph listed for this composition: 0.501 eV/atom
ΔE_f (raw): 489 meV per atom
calculated volume: 68.4 Å³ per cell
space group: Fm-3m
total magnetization: 0.000 μB/f.u.

The structure in POSCAR format:
```
TaGeCl2
1.0
0.000 3.247 3.247
3.247 0.000 3.247
3.247 3.247 0.000
Ta Ge Cl
1 1 2
Direct
0.000 0.000 0.000
0.500 0.500 0.500
0.250 0.250 0.250
0.750 0.750 0.750
```


(6)
Compound: Ag3TeBrCl
Source: Alexandria via LeMat-Bulk
Functional: PBE-GGA
Structure: relaxed

Results
ΔE_f (raw): -210 meV per atom
calculated volume: 320.7 Å³ per cell
space group: C2/m
total magnetization: 0.000 μB/f.u.

The structure in POSCAR format:
```
Ag3TeBrCl
1.0
8.415 -2.350 0.000
8.415 2.350 0.000
-1.688 0.000 8.109
Ag Te Br Cl
6 2 2 2
Direct
0.080 0.080 0.297
0.335 0.335 0.165
0.347 0.347 0.541
0.653 0.653 0.459
0.665 0.665 0.835
0.920 0.920 0.703
0.195 0.195 0.630
0.805 0.805 0.370
0.156 0.156 0.031
0.844 0.844 0.969
0.496 0.496 0.744
0.504 0.504 0.256
```


(7)
Compound: Hf4BiSb
Source: Alexandria via LeMat-Bulk
Functional: PBE-GGA
Structure: relaxed

Results
ΔE_f (raw): 745 meV per atom
calculated volume: 349.9 Å³ per cell
space group: I4_1md
total magnetization: 0.000 μB/f.u.

The structure in POSCAR format:
```
Hf4BiSb
1.0
-4.636 4.636 4.070
4.636 -4.636 4.070
4.636 4.636 -4.070
Hf Bi Sb
8 2 2
Direct
0.197 0.000 0.197
0.215 0.500 0.286
0.215 0.929 0.714
0.250 0.465 0.786
0.679 0.465 0.214
0.750 0.053 0.303
0.750 0.447 0.697
0.803 0.000 0.803
0.473 0.973 0.500
0.723 0.723 0.000
0.245 0.245 0.000
0.995 0.495 0.500
```


(8)
Compound: CeHo2ErBi4
Source: Alexandria via LeMat-Bulk
Functional: PBE-GGA
Structure: relaxed

Results
calculated volume: 256.8 Å³ per cell
space group: P2/m
total magnetization: 0.796 μB/f.u.

The structure in POSCAR format:
```
CeHo2ErBi4
1.0
7.779 0.000 0.000
0.000 4.499 0.000
-2.593 0.000 7.337
Ce Ho Er Bi
1 2 1 4
Direct
0.000 0.000 0.000
0.000 0.500 0.500
0.500 0.000 0.500
0.500 0.500 0.000
0.253 0.000 0.748
0.256 0.500 0.255
0.744 0.500 0.745
0.747 0.000 0.252
```


(9)
Compound: HgI
Source: Alexandria via LeMat-Bulk
Functional: PBE-GGA
Structure: relaxed

Results
energy relative to the lowest polymorph listed for this composition: 0.160 eV/atom
ΔE_f (raw): -82 meV per atom
calculated volume: 426.0 Å³ per cell
space group: I-43m
total magnetization: 0.000 μB/f.u.

The structure in POSCAR format:
```
HgI
1.0
-4.740 4.740 4.740
4.740 -4.740 4.740
4.740 4.740 -4.740
Hg I
4 4
Direct
0.000 0.000 0.236
0.000 0.236 0.000
0.236 0.000 0.000
0.764 0.764 0.764
0.000 0.000 0.581
0.000 0.581 0.000
0.419 0.419 0.419
0.581 0.000 0.000
```


(10)
Compound: Pm2Sm3HoEr6
Source: Alexandria via LeMat-Bulk
Functional: PBE-GGA
Structure: relaxed

Results
calculated volume: 381.8 Å³ per cell
space group: C2/m
total magnetization: 0.000 μB/f.u.

The structure in POSCAR format:
```
Pm2Sm3HoEr6
1.0
3.088 -5.347 0.000
3.088 5.347 0.000
-2.051 0.000 11.559
Pm Sm Ho Er
2 3 1 6
Direct
0.167 0.833 0.000
0.833 0.167 0.000
0.000 0.000 0.500
0.333 0.667 0.500
0.667 0.333 0.500
0.500 0.500 0.000
0.083 0.416 0.750
0.251 0.251 0.250
0.416 0.083 0.750
0.584 0.917 0.250
0.749 0.749 0.750
0.917 0.584 0.250
```


The electronic total energy results, record by record, are as follows: -4.237, -4.522, -1.835, -6.688, -4.552, -2.746, -7.224, -5.214, -1.008, -4.618 eV/atom.